# NaLiNiH2 PBE-GGA relaxed
# **Total magnetization**: 0.8 μB/f.u.
data_NaLiNiH2
_cell_length_a 3.8168
_cell_length_b 3.8168
_cell_length_c 4.4416
_cell_angle_alpha 90.00
_cell_angle_beta 90.00
_cell_angle_gamma 90.00
_symmetry_space_group_name_H-M 'P 1'
_symmetry_Int_Tables_number 1
_symmetry_space_group_name_Hall 'P 1'
loop_
_atom_site_label
_atom_site_fract_x
_atom_site_fract_y
_atom_site_fract_z
Na1 0.0000 0.0000 0.0000
Li1 0.0000 0.0000 0.5000
Ni1 0.5000 0.5000 0.5000
H1 0.0000 0.5000 0.0000
H2 0.5000 0.0000 0.0000

=====

# Na2LiNiH4 PBE-GGA relaxed
# **Total magnetization**: 0.0 μB/f.u.
data_Na2LiNiH4
_cell_length_a 10.0704
_cell_length_b 8.9519
_cell_length_c 5.6868
_cell_angle_alpha 83.76
_cell_angle_beta 62.09
_cell_angle_gamma 34.15
_symmetry_space_group_name_H-M 'P 1'
_symmetry_Int_Tables_number 1
_symmetry_space_group_name_Hall 'P 1'
loop_
_atom_site_label
_atom_site_fract_x
_atom_site_fract_y
_atom_site_fract_z
Na1 0.0522 0.0522 0.6978
Na2 0.3022 0.3022 0.9478
Na3 0.6978 0.6978 0.0522
Na4 0.9478 0.9478 0.3022
Li1 0.1250 0.1250 0.1250
Li2 0.8750 0.8750 0.8750
Ni1 0.3750 0.3750 0.3750
Ni2 0.6250 0.6250 0.6250
H1 0.0240 0.6681 0.5150
H2 0.2930 0.5150 0.6681
H3 0.3319 0.9760 0.7070
H4 0.4850 0.7070 0.9760
H5 0.5150 0.2930 0.0240
H6 0.6681 0.0240 0.2930
H7 0.7070 0.4850 0.3319
H8 0.9760 0.3319 0.4850

=====

# Na2Li3NiH6 PBE-GGA relaxed
# **Total magnetization**: 0.0 μB/f.u.
data_Na2Li3NiH6
_cell_length_a 5.3257
_cell_length_b 5.3257
_cell_length_c 5.3130
_cell_angle_alpha 100.43
_cell_angle_beta 100.43
_cell_angle_gamma 120.25
_symmetry_space_group_name_H-M 'P 1'
_symmetry_Int_Tables_number 1
_symmetry_space_group_name_Hall 'P 1'
loop_
_atom_site_label
_atom_site_fract_x
_atom_site_fract_y
_atom_site_fract_z
Na1 0.1640 0.8360 0.0000
Na2 0.8360 0.1640 0.0000
Li1 0.0000 0.0000 0.5000
Li2 0.3694 0.6306 0.5000
Li3 0.6306 0.3694 0.5000
Ni1 0.5000 0.5000 0.0000
H1 0.1970 0.4386 0.7878
H2 0.2382 0.2382 0.2971
H3 0.4386 0.1970 0.7878
H4 0.5614 0.8030 0.2122
H5 0.7618 0.7618 0.7029
H6 0.8030 0.5614 0.2122

=====

# Na2Li2NiH4 PBE-GGA relaxed
# **Total magnetization**: 0.0 μB/f.u.
data_Na2Li2NiH4
_cell_length_a 5.1687
_cell_length_b 5.1687
_cell_length_c 5.1687
_cell_angle_alpha 120.84
_cell_angle_beta 120.84
_cell_angle_gamma 88.55
_symmetry_space_group_name_H-M 'P 1'
_symmetry_Int_Tables_number 1
_symmetry_space_group_name_Hall 'P 1'
loop_
_atom_site_label
_atom_site_fract_x
_atom_site_fract_y
_atom_site_fract_z
Na1 0.2500 0.7500 0.5000
Na2 0.7500 0.2500 0.5000
Li1 0.1499 0.1499 0.0000
Li2 0.8501 0.8501 0.0000
Ni1 0.5000 0.5000 0.0000
H1 0.2698 0.2698 0.5396
H2 0.2698 0.7302 0.0000
H3 0.7302 0.2698 0.0000
H4 0.7302 0.7302 0.4604

=====

Number 1: DFT total energy -2.220 eV per atom. Number 2: DFT total energy -3.078 eV per atom. Number 3: DFT total energy -3.054 eV per atom. Number 4: DFT total energy -2.845 eV per atom.